VASP calculation (PBE with a Hubbard U) on a relaxed structure of Na2MnF4.

The space group is I4/mmm (No. 139) and the conventional cell measures 4.186, 4.186 and 12.024 Å, with angles of 90.00, 90.00 and 90.00 degrees. The asymmetric unit holds Na at (0.000, 0.000, 0.145), Mn at (0.000, 0.000, 0.500), F at (0.000, 0.000, 0.326) and F at (0.000, 0.500, 0.000).

The calculation puts the magnetization at 10.000 μB/cell. The energy relative to the lowest polymorph listed for this composition is 0.061 eV/atom. The value obtained for the density of states at the Fermi level is 0.0 states/eV per cell. The total energy is -5.14 eV per atom.